The following is a PBE-GGA calculation of an optimized crystal structure of Ti6AlGe, from the Alexandria database.

Cell lengths 4.6303, 5.7089, 5.7089 Å; angles 60.12, 90.00, 90.00 degrees
Last column: nearest neighbours and their distance in Å.
Fractional positions:
Ti (0.0000, 0.0000, 0.0000)  8 Ti 2.79-2.92, 2 Ge 2.82, 2 Al 2.86
Ti (0.0000, 0.0006, 0.4889)  8 Ti 2.79-2.93, 2 Ge 2.82, 2 Al 2.85-2.86
Ti (0.0000, 0.4889, 0.0006)  8 Ti 2.79-2.93, 2 Ge 2.82, 2 Al 2.85-2.86
Ti (0.5000, 0.1687, 0.6615)  8 Ti 2.82-2.90, 2 Al 2.83, 2 Ge 2.85-2.86
Ti (0.5000, 0.6615, 0.1687)  8 Ti 2.82-2.90, 2 Al 2.83, 2 Ge 2.85-2.86
Ti (0.5000, 0.6621, 0.6621)  8 Ti 2.82-2.89, 2 Al 2.83, 2 Ge 2.86
Al (0.0000, 0.4969, 0.4969)  12 Ti 2.83-2.86
Ge (0.5000, 0.1635, 0.1635)  12 Ti 2.82-2.86

Magnetic moment ... 0.0000 μB/atom
Density of states at the Fermi level ... 0.683 states/eV/atom
Formation energy from the elements ... -346 meV/atom

---

The following is a PBE-GGA calculation of an optimized crystal structure of TiAl2Ge, from the Alexandria database.

Cell lengths 5.8706, 5.8706, 5.8706 Å; angles 101.43, 101.43, 127.12 degrees
Last column: nearest neighbours and their distance in Å.
Fractional positions:
Ti (0.0000, 0.0000, 0.0000)  2 Ge 2.61, 4 Al 2.88
Ti (0.7500, 0.2500, 0.5000)  2 Ge 2.61, 4 Al 2.88
Al (0.1568, 0.6250, 0.0318)  2 Ge 2.55, 2 Al 2.66
Al (0.3750, 0.4068, 0.5318)  2 Ge 2.55, 2 Al 2.66
Al (0.5932, 0.1250, 0.9682)  2 Ge 2.55, 2 Al 2.66
Al (0.8750, 0.8432, 0.4682)  2 Ge 2.55, 2 Al 2.66
Ge (0.2500, 0.7500, 0.5000)  4 Al 2.55, 2 Ti 2.61
Ge (0.5000, 0.5000, 0.0000)  4 Al 2.55, 2 Ti 2.61

Magnetic moment ... 0.0000 μB/atom
Density of states at the Fermi level ... 0.868 states/eV/atom
Formation energy from the elements ... 92 meV/atom

---

The following is a PBE-GGA calculation of an optimized crystal structure of Ti2AlGe, from the Alexandria database.

Cell lengths 3.9635, 3.9635, 4.0114 Å; angles 90.00, 90.00, 90.00 degrees
Last column: nearest neighbours and their distance in Å.
Fractional positions:
Ti (0.0000, 0.5000, 0.0000)  4 Ti 2.80, 4 Ge 2.82, 4 Al 2.82
Ti (0.5000, 0.0000, 0.0000)  4 Ti 2.80, 4 Ge 2.82, 4 Al 2.82
Al (0.0000, 0.0000, 0.5000)  4 Ge 2.80, 8 Ti 2.82
Ge (0.5000, 0.5000, 0.5000)  4 Al 2.80, 8 Ti 2.82

Magnetic moment ... 0.0000 μB/atom
Density of states at the Fermi level ... 0.763 states/eV/atom
Formation energy from the elements ... -447 meV/atom

---

The following is a PBE-GGA calculation of an optimized crystal structure of Ti12Al3Ge, from the Alexandria database.

Cell lengths 5.0952, 5.0973, 10.1924 Å; angles 90.00, 90.00, 90.00 degrees
Last column: nearest neighbours and their distance in Å.
Fractional positions:
Ti (0.0000, 0.0000, 0.1239)  2 Ti 2.53-2.55
Ti (0.0000, 0.0000, 0.3740)  2 Ti 2.55-2.57, 4 Al 2.85
Ti (0.0000, 0.0000, 0.6260)  2 Ti 2.55-2.57, 4 Al 2.85
Ti (0.0000, 0.0000, 0.8761)  2 Ti 2.53-2.55
Ti (0.2499, 0.5000, 0.2476)  2 Ti 2.55, 1 Ge 2.83, 2 Al 2.85
Ti (0.2499, 0.5000, 0.7524)  2 Ti 2.55, 1 Ge 2.83, 2 Al 2.85
Ti (0.5000, 0.2494, 0.5000)  2 Ti 2.54-2.56
Ti (0.5000, 0.2505, 0.0000)  2 Ti 2.54-2.55, 2 Al 2.84, 2 Ge 2.85
Ti (0.5000, 0.7495, 0.0000)  2 Ti 2.54-2.55, 2 Al 2.84, 2 Ge 2.85
Ti (0.5000, 0.7506, 0.5000)  2 Ti 2.54-2.56
Ti (0.7501, 0.5000, 0.2476)  2 Ti 2.55, 1 Ge 2.83, 2 Al 2.85
Ti (0.7501, 0.5000, 0.7524)  2 Ti 2.55, 1 Ge 2.83, 2 Al 2.85
Al (0.0000, 0.5000, 0.5000)  12 Ti 2.85-2.87
Al (0.5000, 0.0000, 0.2483)  12 Ti 2.84-2.86
Al (0.5000, 0.0000, 0.7517)  12 Ti 2.84-2.86
Ge (0.0000, 0.5000, 0.0000)  12 Ti 2.83-2.85

Magnetic moment ... 0.0000 μB/atom
Density of states at the Fermi level ... 1.202 states/eV/atom
Formation energy from the elements ... -270 meV/atom

---

The following is a PBE-GGA calculation of an optimized crystal structure of TiAlGe, from the Alexandria database.

Cell lengths 5.2730, 5.2730, 5.2730 Å; angles 144.71, 144.71, 50.77 degrees
Last column: nearest neighbours and their distance in Å.
Fractional positions:
Ti (0.0000, 0.0000, 0.0000)  4 Al 2.78, 4 Ge 2.78
Al (0.3309, 0.3309, 0.0000)  4 Ge 2.74, 4 Ti 2.78
Ge (0.6693, 0.6693, 0.0000)  4 Al 2.74, 4 Ti 2.78

Magnetic moment ... 0.0000 μB/atom
Density of states at the Fermi level ... 0.708 states/eV/atom
Formation energy from the elements ... -215 meV/atom

---

The following is a PBE-GGA calculation of an optimized crystal structure of TiAlGe3, from the Alexandria database.

Cell lengths 4.9125, 4.9125, 4.9125 Å; angles 90.00, 90.00, 90.00 degrees
Last column: nearest neighbours and their distance in Å.
Fractional positions:
Ti (0.0000, 0.0000, 0.0000)  6 Ge 2.46
Al (0.5000, 0.5000, 0.5000)  12 Ge 3.47
Ge (0.0000, 0.0000, 0.5000)  2 Ti 2.46
Ge (0.0000, 0.5000, 0.0000)  2 Ti 2.46
Ge (0.5000, 0.0000, 0.0000)  2 Ti 2.46

Magnetic moment ... 0.0000 μB/atom
Offset from the most stable computed form ... 0 meV/atom
Density of states at the Fermi level ... 0.350 states/eV/atom
Formation energy from the elements ... 369 meV/atom